Pa2TlCo: optimized geometry, PBE-GGA.

a b c (Å): 3.567 3.567 8.980
angles (deg): 78.54 78.54 60.00
Fractional positions:
Tl1 0.500 0.500 0.500
Pa1 0.271 0.271 0.188
Pa2 0.729 0.729 0.812
Co1 0.000 0.000 0.000

Output
- Magnetic moment: 0.0 μB/f.u.
- E: -0.26142 Ha/atom
- ΔH_f (0 K): 0.00 eV/atom
- Space group: No. 166
- Polymorph energy (0 for the lowest one): 81 meV/atom
- DOS(E_F): 6.0 states/eV per cell

Pa2TlCo: optimized geometry, PBE-GGA.

a b c (Å): 3.465 3.465 9.308
angles (deg): 79.27 79.27 60.00
Fractional positions:
Co1 0.666 0.666 0.001
Pa1 0.270 0.270 0.190
Tl1 0.501 0.501 0.497
Pa2 0.062 0.062 0.813

Output
- Magnetic moment: 0.0 μB/f.u.
- E: -0.26201 Ha/atom
- ΔH_f (0 K): -0.01 eV/atom
- Space group: No. 160
- Polymorph energy (0 for the lowest one): 65 meV/atom
- DOS(E_F): 6.2 states/eV per cell

Pa2TlCo: optimized geometry, PBE-GGA.

a b c (Å): 3.181 3.181 8.601
angles (deg): 90.00 90.00 90.00
Fractional positions:
Tl1 0.500 0.500 0.500
Co1 0.500 0.500 0.000
Pa1 0.000 0.000 0.199
Pa2 0.000 0.000 0.801

Output
- Magnetic moment: 0.0 μB/f.u.
- E: -0.26440 Ha/atom
- ΔH_f (0 K): -0.08 eV/atom
- Space group: No. 123
- Polymorph energy (0 for the lowest one): 0 meV/atom
- DOS(E_F): 5.9 states/eV per cell

TmPaCo10: optimized geometry, PBE-GGA.

a b c (Å): 3.999 4.841 8.397
angles (deg): 90.00 90.00 90.00
Fractional positions:
Co1 0.500 0.500 0.000
Pa1 0.000 0.500 0.500
Tm1 0.000 0.000 0.000
Co2 0.000 0.500 0.185
Co3 0.000 0.500 0.815
Co4 0.500 0.757 0.245
Co5 0.000 0.000 0.340
Co6 0.500 0.757 0.755
Co7 0.500 0.000 0.500
Co8 0.500 0.243 0.755
Co9 0.000 0.000 0.660
Co10 0.500 0.243 0.245

Output
- Magnetic moment: 12.2 μB/f.u.
- E: -0.26632 Ha/atom
- ΔH_f (0 K): -0.16 eV/atom
- Space group: No. 47
- DOS(E_F): 16.7 states/eV per cell

Tm3Pa2Co4: optimized geometry, PBE-GGA.

a b c (Å): 3.660 5.848 8.982
angles (deg): 99.82 90.00 108.23
Fractional positions:
Tm1 0.378 0.757 0.617
Co1 0.299 0.597 0.926
Co2 0.079 0.157 0.615
Co3 0.701 0.403 0.074
Tm2 0.000 0.000 0.000
Pa1 0.681 0.361 0.777
Co4 0.921 0.843 0.385
Tm3 0.622 0.243 0.383
Pa2 0.319 0.639 0.223

Output
- Magnetic moment: 0.0 μB/f.u.
- E: -0.26055 Ha/atom
- ΔH_f (0 K): -0.33 eV/atom
- Space group: No. 12
- DOS(E_F): 8.1 states/eV per cell

Tm2PaCo2: optimized geometry, PBE-GGA.

a b c (Å): 3.578 5.889 5.888
angles (deg): 61.55 72.31 72.31
Fractional positions:
Pa1 0.500 0.500 0.000
Co1 0.000 0.786 0.714
Co2 0.000 0.214 0.286
Tm1 0.307 0.193 0.693
Tm2 0.693 0.807 0.307

Output
- Magnetic moment: 0.0 μB/f.u.
- E: -0.25383 Ha/atom
- ΔH_f (0 K): -0.38 eV/atom
- Space group: No. 71
- DOS(E_F): 5.5 states/eV per cell

Tm3PaCo3: optimized geometry, PBE-GGA.

a b c (Å): 3.666 6.305 13.124
angles (deg): 87.56 81.97 73.10
Fractional positions:
Co1 0.910 0.110 0.069
Tm1 0.406 0.265 0.922
Tm2 0.269 0.268 0.194
Co2 0.877 0.710 0.537
Co3 0.061 0.114 0.764
Pa1 0.219 0.953 0.610
Tm3 0.481 0.401 0.636
Co4 0.939 0.886 0.236
Co5 0.123 0.290 0.463
Pa2 0.781 0.047 0.390
Co6 0.090 0.890 0.931
Tm4 0.594 0.735 0.078
Tm5 0.519 0.599 0.364
Tm6 0.731 0.732 0.806

Output
- Magnetic moment: 0.0 μB/f.u.
- E: -0.24203 Ha/atom
- ΔH_f (0 K): -0.27 eV/atom
- Space group: No. 12
- DOS(E_F): 10.5 states/eV per cell

Tm2PaCo4: optimized geometry, PBE-GGA.

a b c (Å): 4.314 4.314 7.289
angles (deg): 107.22 107.22 90.00
Fractional positions:
Co1 0.605 0.105 0.210
Co2 0.895 0.395 0.790
Tm1 0.733 0.733 0.467
Pa1 0.000 0.000 0.000
Co3 0.105 0.605 0.210
Co4 0.395 0.895 0.790
Tm2 0.267 0.267 0.533

Output
- Magnetic moment: 0.0 μB/f.u.
- E: -0.24518 Ha/atom
- ΔH_f (0 K): 0.02 eV/atom
- Space group: No. 139
- DOS(E_F): 4.3 states/eV per cell

TmPa2Co2: optimized geometry, PBE-GGA.

a b c (Å): 3.556 6.356 9.703
angles (deg): 83.74 79.43 73.75
Fractional positions:
Co1 0.582 0.713 0.123
Co2 0.418 0.287 0.877
Tm1 0.324 0.006 0.347
Pa1 0.147 0.768 0.936
Co3 0.380 0.672 0.567
Pa2 0.922 0.461 0.696
Pa3 0.853 0.232 0.064
Pa4 0.078 0.539 0.304
Tm2 0.676 0.994 0.653
Co4 0.620 0.328 0.433

Output
- Magnetic moment: 0.0 μB/f.u.
- E: -0.28482 Ha/atom
- ΔH_f (0 K): -0.22 eV/atom
- Space group: No. 12
- DOS(E_F): 11.0 states/eV per cell

TmPaCo: optimized geometry, PBE-GGA.

a b c (Å): 3.551 6.806 6.916
angles (deg): 56.75 75.13 74.88
Fractional positions:
Co1 0.045 0.751 0.158
Pa1 0.393 0.974 0.239
Tm1 0.956 0.401 0.687
Pa2 0.675 0.408 0.242
Co2 0.279 0.495 0.946
Tm2 0.675 0.909 0.741

Output
- Magnetic moment: 0.0 μB/f.u.
- E: -0.26663 Ha/atom
- ΔH_f (0 K): -0.23 eV/atom
- Space group: No. 8
- Polymorph energy (0 for the lowest one): 0 meV/atom
- DOS(E_F): 7.0 states/eV per cell

Tm5PaCo4: optimized geometry, PBE-GGA.

a b c (Å): 4.265 6.804 8.055
angles (deg): 106.62 105.35 90.00
Fractional positions:
Tm1 0.828 0.445 0.656
Co1 0.010 0.215 0.020
Tm2 0.170 0.062 0.341
Pa1 0.500 0.000 0.000
Co2 0.640 0.286 0.280
Co3 0.360 0.714 0.720
Tm3 0.830 0.938 0.659
Tm4 0.172 0.555 0.344
Tm5 0.500 0.500 0.000
Co4 0.990 0.785 0.980

Output
- Magnetic moment: 0.0 μB/f.u.
- E: -0.23163 Ha/atom
- ΔH_f (0 K): -0.28 eV/atom
- Space group: No. 12
- DOS(E_F): 7.8 states/eV per cell

Tm2Pa3Co2: optimized geometry, PBE-GGA.

a b c (Å): 3.537 5.793 8.641
angles (deg): 69.98 78.19 72.23
Fractional positions:
Pa1 0.619 0.197 0.565
Tm1 0.834 0.534 0.798
Pa2 0.381 0.803 0.435
Pa3 0.500 0.000 0.000
Co1 0.117 0.975 0.791
Co2 0.883 0.025 0.209
Tm2 0.166 0.466 0.202

Output
- Magnetic moment: 0.0 μB/f.u.
- E: -0.27939 Ha/atom
- ΔH_f (0 K): -0.22 eV/atom
- Space group: No. 12
- DOS(E_F): 9.2 states/eV per cell

Repeat the fifth record exactly.
Tm3Pa2Co4: optimized geometry, PBE-GGA.

a b c (Å): 3.660 5.848 8.982
angles (deg): 99.82 90.00 108.23
Fractional positions:
Tm1 0.378 0.757 0.617
Co1 0.299 0.597 0.926
Co2 0.079 0.157 0.615
Co3 0.701 0.403 0.074
Tm2 0.000 0.000 0.000
Pa1 0.681 0.361 0.777
Co4 0.921 0.843 0.385
Tm3 0.622 0.243 0.383
Pa2 0.319 0.639 0.223

Output
- Magnetic moment: 0.0 μB/f.u.
- E: -0.26055 Ha/atom
- ΔH_f (0 K): -0.33 eV/atom
- Space group: No. 12
- DOS(E_F): 8.1 states/eV per cell